(1)
SrRu2Se: relaxed, GGA-PBE.

Cell lengths 4.3318, 4.3318, 16.5081 Å; angles 90.00, 90.00, 120.00 degrees
With the nearest neighbours (Å) after each atom.
Space group R-3m (No. 166, hexagonal axes)
Inequivalent atoms, fractional coordinates:
Sr  0.0000  0.0000  0.0000  8 Ru 3.18-3.42
Ru  0.0000  0.0000  0.1924  3 Se 2.54, 3 Ru 2.64
Se  0.0000  0.0000  0.5000  6 Ru 2.54

Crystal system: trigonal
Total energy, eV/atom: -5.91
DOS at the Fermi energy, states/eV per cell: 13.5
Uncorrected formation energy, eV/atom: 0.0230


(2)
CdP2Os: relaxed, GGA-PBE.

Cell lengths 3.8242, 3.8242, 8.5675 Å; angles 90.00, 90.00, 90.00 degrees
With the nearest neighbours (Å) after each atom.
Space group I-4m2 (No. 119)
Inequivalent atoms, fractional coordinates:
Cd  0.0000  0.0000  0.0000  8 P 2.70-2.87, 4 Os 2.87
P  0.0000  0.0000  0.5000  4 Cd 2.70, 4 Os 2.87, 4 P 2.87
P  0.0000  0.5000  0.2500  4 Os 2.70, 4 Cd 2.87, 4 P 2.87
Os  0.0000  0.5000  0.7500  8 P 2.70-2.87, 4 Cd 2.87

Crystal system: tetragonal
Total energy, eV/atom: -4.98
DOS at the Fermi energy, states/eV per cell: 5.3
Polymorph energy (0 for the lowest one), meV per atom: 763
Formation enthalpy at 0 K, eV/atom: 0.76


(3)
BaIn2Ag4Sn: relaxed, GGA-PBE.

Cell lengths 4.7846, 4.7846, 30.9401 Å; angles 90.00, 90.00, 120.00 degrees
With the nearest neighbours (Å) after each atom.
Space group R-3m (No. 166, hexagonal axes)
Inequivalent atoms, fractional coordinates:
Ba  0.0000  0.0000  0.0000  8 Ag 3.58-3.92, 6 In 3.79
In  0.0000  0.0000  0.2494  6 Ag 2.78-3.06
Ag  0.0000  0.0000  0.1268  3 Sn 3.03, 3 In 3.06, 3 Ag 3.22
Ag  0.0000  0.0000  0.4068  3 In 2.78, 1 Sn 2.88
Sn  0.0000  0.0000  0.5000  8 Ag 2.88-3.03

Crystal system: trigonal
Total energy, eV/atom: -2.96
DOS at the Fermi energy, states/eV per cell: 8.0
Formation enthalpy at 0 K, eV/atom: -0.11


(4)
La11Cd9Hg4: relaxed, GGA-PBE.

Cell lengths 15.5351, 23.4361, 3.9183 Å; angles 90.00, 90.00, 90.00 degrees
With the nearest neighbours (Å) after each atom.
Space group Cmmm (No. 65)
Inequivalent atoms, fractional coordinates:
La  0.0000  0.0000  0.0000  8 Cd 3.37
La  0.0000  0.1675  0.0000  8 Cd 3.40-3.56, 2 La 3.65
La  0.0000  0.3627  0.0000  4 Hg 3.20, 4 Cd 3.43
La  0.2256  0.5000  0.0000  4 Hg 3.22, 4 Cd 3.44
La  0.2343  0.1786  0.0000  2 Hg 3.25, 1 La 3.38, 6 Cd 3.46-3.47
Cd  0.0000  0.5000  0.5000  4 Hg 3.28
Cd  0.1031  0.2642  0.5000  1 Cd 3.20, 1 Hg 3.33, 8 La 3.40-3.47
Cd  0.1335  0.0768  0.5000  1 Hg 3.37, 8 La 3.37-3.56, 1 Cd 3.60
Hg  0.1518  0.4025  0.5000  6 La 3.20-3.25, 3 Cd 3.28-3.37

Crystal system: orthorhombic
Total energy, eV/atom: -3.02
DOS at the Fermi energy, states/eV per cell: 51.0
Formation enthalpy at 0 K, eV/atom: -0.37


(5)
Ca2CeScO6: relaxed, GGA-PBE.

Cell lengths 5.7111, 5.9188, 9.9721 Å; angles 90.00, 124.32, 90.00 degrees
With the nearest neighbours (Å) after each atom.
Space group P2_1/c (No. 14)
Inequivalent atoms, fractional coordinates:
Ca  0.2297  0.0538  0.2518  5 O 2.36-2.58
Ce  0.5000  0.0000  0.0000  6 O 2.20-2.27
Sc  0.0000  0.0000  0.5000  6 O 2.11-2.15
O  0.1224  0.2102  0.9289  1 Sc 2.12, 1 Ce 2.23
O  0.2300  0.6983  0.9354  1 Sc 2.11, 1 Ce 2.20, 1 Ca 2.36
O  0.3679  0.0598  0.7414  1 Sc 2.15, 1 Ce 2.27, 1 Ca 2.36

Crystal system: monoclinic
Total energy, eV/atom: -7.59
DOS at the Fermi energy, states/eV per cell: 16.1
Uncorrected formation energy, eV/atom: -2.9856


(6)
K2AcAu9: relaxed, GGA-PBE.

Cell lengths 5.7020, 5.7020, 29.2358 Å; angles 90.00, 90.00, 120.00 degrees
With the nearest neighbours (Å) after each atom.
Space group R-3m (No. 166, hexagonal axes)
Inequivalent atoms, fractional coordinates:
K  0.0000  0.0000  0.1466  12 Au 3.34-3.48, 3 K 3.49
Ac  0.0000  0.0000  0.0000  6 Au 3.29
Au  0.0000  0.0000  0.3318  6 Au 2.88-2.94
Au  0.0000  0.0000  0.5000  6 Au 2.97
Au  0.0014  0.5007  0.0820  7 Au 2.84-2.97

Crystal system: trigonal
Total energy, eV/atom: -3.36
DOS at the Fermi energy, states/eV per cell: 15.1
Formation enthalpy at 0 K, eV/atom: -0.38


(7)
HfTaHg2: relaxed, GGA-PBE.

Cell lengths 6.2586, 6.2586, 12.3437 Å; angles 90.00, 90.00, 90.00 degrees
With the nearest neighbours (Å) after each atom.
Space group I-42d (No. 122)
Inequivalent atoms, fractional coordinates:
Hf  0.0000  0.0000  0.0000  4 Hg 2.75
Ta  0.0000  0.0000  0.5000  4 Hg 2.65
Hg  0.2353  0.2500  0.6250  2 Ta 2.65, 2 Hf 2.75

Crystal system: tetragonal
Total energy, eV/atom: -4.07
DOS at the Fermi energy, states/eV per cell: 23.7
Polymorph energy (0 for the lowest one), meV per atom: 1182
Formation enthalpy at 0 K, eV/atom: 1.53


(8)
SrHfTaGa2: relaxed, GGA-PBE.

Cell lengths 5.2978, 5.2978, 4.9837 Å; angles 90.00, 90.00, 90.00 degrees
With the nearest neighbours (Å) after each atom.
Space group P4/mmm (No. 123)
Inequivalent atoms, fractional coordinates:
Sr  0.0000  0.0000  0.0000  8 Ga 3.64, 4 Ta 3.75
Hf  0.5000  0.5000  0.5000  2 Ta 2.49, 4 Ga 2.65
Ta  0.5000  0.5000  0.0000  2 Hf 2.49
Ga  0.0000  0.5000  0.5000  2 Hf 2.65

Crystal system: tetragonal
Total energy, eV/atom: -5.31
DOS at the Fermi energy, states/eV per cell: 4.9
Formation enthalpy at 0 K, eV/atom: 0.60


The highest total energy belongs to which entry? BaIn2Ag4Sn